(1)
Density functional theory data (PBE-GGA) for a relaxed Al3IrPt crystal.

## Properties
energy of formation	-0.0441	eV per atom
energy above the lowest structure with this stoichiometry	0.00	eV per formula unit
crystal system	cubic

```
data_Al3IrPt
_chemical_formula_sum 'Al3 Ir1 Pt1'
_cell_length_a 4.640
_cell_length_b 4.640
_cell_length_c 4.640
_cell_angle_alpha 90.00
_cell_angle_beta 90.00
_cell_angle_gamma 90.00
_symmetry_space_group_name_H-M 'P m -3 m'
_symmetry_Int_Tables_number 221
_symmetry_space_group_name_Hall '-P 4 2 3'
loop_
_atom_site_label
_atom_site_type_symbol
_atom_site_fract_x
_atom_site_fract_y
_atom_site_fract_z
_atom_site_occupancy
Al1 Al 0.000 0.000 0.500 1
Ir1 Ir 0.000 0.000 0.000 1
Pt1 Pt 0.500 0.500 0.500 1
```

=====

(2)
Density functional theory data (PBE-GGA) for a relaxed AlIr2Pt crystal.

## Properties
energy of formation	-0.4012	eV per atom
crystal system	orthorhombic

```
data_AlIr2Pt
_chemical_formula_sum 'Al2 Ir4 Pt2'
_cell_length_a 5.573
_cell_length_b 7.453
_cell_length_c 2.813
_cell_angle_alpha 90.00
_cell_angle_beta 90.00
_cell_angle_gamma 90.00
_symmetry_space_group_name_H-M 'C m m m'
_symmetry_Int_Tables_number 65
_symmetry_space_group_name_Hall '-C 2 2'
loop_
_atom_site_label
_atom_site_type_symbol
_atom_site_fract_x
_atom_site_fract_y
_atom_site_fract_z
_atom_site_occupancy
Al1 Al 0.000 0.000 0.000 1
Ir1 Ir 0.250 0.250 0.500 1
Pt1 Pt 0.000 0.500 0.000 1
```

=====

(3)
Density functional theory data (PBE-GGA) for a relaxed AlIr2Pt crystal.

## Properties
energy of formation	-0.3970	eV per atom
crystal system	tetragonal

```
data_AlIr2Pt
_chemical_formula_sum 'Al1 Ir2 Pt1'
_cell_length_a 2.778
_cell_length_b 2.778
_cell_length_c 7.552
_cell_angle_alpha 90.00
_cell_angle_beta 90.00
_cell_angle_gamma 90.00
_symmetry_space_group_name_H-M 'P 4 m m'
_symmetry_Int_Tables_number 99
loop_
_symmetry_equiv_pos_as_xyz
'x,y,z'
'-y,x,z'
'-x,-y,z'
'y,-x,z'
'-x,y,z'
'y,x,z'
'x,-y,z'
'-y,-x,z'
loop_
_atom_site_label
_atom_site_type_symbol
_atom_site_fract_x
_atom_site_fract_y
_atom_site_fract_z
_atom_site_occupancy
Al1 Al 0.000 0.000 0.000 1
Ir1 Ir 0.000 0.000 0.487 1
Ir2 Ir 0.500 0.500 0.239 1
Pt1 Pt 0.500 0.500 0.763 1
```

=====

(4)
Density functional theory data (PBE-GGA) for a relaxed AlIrPt2 crystal.

## Properties
energy of formation	-0.3038	eV per atom
crystal system	cubic

```
data_AlIrPt2
_chemical_formula_sum 'Al4 Ir4 Pt8'
_cell_length_a 6.239
_cell_length_b 6.239
_cell_length_c 6.239
_cell_angle_alpha 90.00
_cell_angle_beta 90.00
_cell_angle_gamma 90.00
_symmetry_space_group_name_H-M 'F -4 3 m'
_symmetry_Int_Tables_number 216
_symmetry_space_group_name_Hall 'F -4 2 3'
loop_
_atom_site_label
_atom_site_type_symbol
_atom_site_fract_x
_atom_site_fract_y
_atom_site_fract_z
_atom_site_occupancy
Al1 Al 0.000 0.000 0.000 1
Ir1 Ir 0.250 0.250 0.250 1
Pt1 Pt 0.000 0.000 0.500 1
Pt2 Pt 0.250 0.250 0.750 1
```

=====

(5)
Density functional theory data (PBE-GGA) for a relaxed AlIr2Pt crystal.

## Properties
energy of formation	-0.3228	eV per atom
crystal system	trigonal

```
data_AlIr2Pt
_chemical_formula_sum 'Al3 Ir6 Pt3'
_cell_length_a 2.8077
_cell_length_b 2.8077
_cell_length_c 25.7849
_cell_angle_alpha 90.00
_cell_angle_beta 90.00
_cell_angle_gamma 120.00
_symmetry_space_group_name_H-M 'R 3 m'
_symmetry_Int_Tables_number 160
_symmetry_space_group_name_Hall 'R 3 -2"'
loop_
_atom_site_label
_atom_site_type_symbol
_atom_site_fract_x
_atom_site_fract_y
_atom_site_fract_z
_atom_site_occupancy
Al1 Al 0.0000 0.0000 0.0000 1
Ir1 Ir 0.0000 0.0000 0.4968 1
Ir2 Ir 0.0000 0.0000 0.7448 1
Pt1 Pt 0.0000 0.0000 0.2549 1
```

=====

(6)
Density functional theory data (PBE-GGA) for a relaxed AlIr2Pt crystal.

## Properties
energy of formation	-0.1704	eV per atom
crystal system	orthorhombic

```
data_AlIr2Pt
_chemical_formula_sum 'Al2 Ir4 Pt2'
_cell_length_a 2.809
_cell_length_b 4.777
_cell_length_c 8.898
_cell_angle_alpha 90.00
_cell_angle_beta 90.00
_cell_angle_gamma 90.00
_symmetry_space_group_name_H-M 'C m m m'
_symmetry_Int_Tables_number 65
_symmetry_space_group_name_Hall '-C 2 2'
loop_
_atom_site_label
_atom_site_type_symbol
_atom_site_fract_x
_atom_site_fract_y
_atom_site_fract_z
_atom_site_occupancy
Al1 Al 0.000 0.000 0.000 1
Ir1 Ir 0.000 0.500 0.229 1
Pt1 Pt 0.000 0.000 0.500 1
```

=====

(7)
Density functional theory data (PBE-GGA) for a relaxed Al2IrPt crystal.

## Properties
energy of formation	-0.7614	eV per atom
crystal system	tetragonal

```
data_Al2IrPt
_chemical_formula_sum 'Al4 Ir2 Pt2'
_cell_length_a 3.675
_cell_length_b 3.675
_cell_length_c 8.600
_cell_angle_alpha 90.00
_cell_angle_beta 90.00
_cell_angle_gamma 90.00
_symmetry_space_group_name_H-M 'I -4 m 2'
_symmetry_Int_Tables_number 119
_symmetry_space_group_name_Hall 'I -4 -2'
loop_
_atom_site_label
_atom_site_type_symbol
_atom_site_fract_x
_atom_site_fract_y
_atom_site_fract_z
_atom_site_occupancy
Al1 Al 0.000 0.000 0.000 1
Al2 Al 0.000 0.500 0.250 1
Ir1 Ir 0.000 0.500 0.750 1
Pt1 Pt 0.000 0.000 0.500 1
```

=====

(8)
Density functional theory data (PBE-GGA) for a relaxed AlIrPt2 crystal.

## Properties
energy of formation	-0.4178	eV per atom
crystal system	orthorhombic

```
data_AlIrPt2
_chemical_formula_sum 'Al1 Ir1 Pt2'
_cell_length_a 2.783
_cell_length_b 3.729
_cell_length_c 5.764
_cell_angle_alpha 90.00
_cell_angle_beta 90.00
_cell_angle_gamma 90.00
_symmetry_space_group_name_H-M 'P m m 2'
_symmetry_Int_Tables_number 25
loop_
_symmetry_equiv_pos_as_xyz
'x,y,z'
'-x,-y,z'
'-x,y,z'
'x,-y,z'
loop_
_atom_site_label
_atom_site_type_symbol
_atom_site_fract_x
_atom_site_fract_y
_atom_site_fract_z
_atom_site_occupancy
Al1 Al 0.000 0.000 0.000 1
Ir1 Ir 0.500 0.500 0.233 1
Pt1 Pt 0.000 0.000 0.488 1
Pt2 Pt 0.500 0.500 0.761 1
```

=====

(9)
Density functional theory data (PBE-GGA) for a relaxed Al2IrPt crystal.

## Properties
energy of formation	-0.9350	eV per atom
crystal system	tetragonal

```
data_Al2IrPt
_chemical_formula_sum 'Al4 Ir2 Pt2'
_cell_length_a 4.057
_cell_length_b 4.057
_cell_length_c 6.914
_cell_angle_alpha 90.00
_cell_angle_beta 90.00
_cell_angle_gamma 90.00
_symmetry_space_group_name_H-M 'I 4/m m m'
_symmetry_Int_Tables_number 139
_symmetry_space_group_name_Hall '-I 4 2'
loop_
_atom_site_label
_atom_site_type_symbol
_atom_site_fract_x
_atom_site_fract_y
_atom_site_fract_z
_atom_site_occupancy
Al1 Al 0.000 0.500 0.250 1
Ir1 Ir 0.000 0.000 0.000 1
Pt1 Pt 0.000 0.000 0.500 1
```

=====

(10)
Density functional theory data (PBE-GGA) for a relaxed Al2IrPt crystal.

## Properties
energy of formation	-0.9433	eV per atom
crystal system	orthorhombic

```
data_Al2IrPt
_chemical_formula_sum 'Al4 Ir2 Pt2'
_cell_length_a 5.751
_cell_length_b 6.766
_cell_length_c 2.928
_cell_angle_alpha 90.00
_cell_angle_beta 90.00
_cell_angle_gamma 90.00
_symmetry_space_group_name_H-M 'C m m m'
_symmetry_Int_Tables_number 65
_symmetry_space_group_name_Hall '-C 2 2'
loop_
_atom_site_label
_atom_site_type_symbol
_atom_site_fract_x
_atom_site_fract_y
_atom_site_fract_z
_atom_site_occupancy
Al1 Al 0.250 0.250 0.000 1
Ir1 Ir 0.000 0.000 0.500 1
Pt1 Pt 0.000 0.500 0.500 1
```

=====

(11)
Density functional theory data (PBE-GGA) for a relaxed AlIr2Pt crystal.

## Properties
energy of formation	-0.2596	eV per atom
crystal system	orthorhombic

```
data_AlIr2Pt
_chemical_formula_sum 'Al2 Ir4 Pt2'
_cell_length_a 2.804
_cell_length_b 4.602
_cell_length_c 9.151
_cell_angle_alpha 90.00
_cell_angle_beta 90.00
_cell_angle_gamma 90.00
_symmetry_space_group_name_H-M 'I m m 2'
_symmetry_Int_Tables_number 44
loop_
_symmetry_equiv_pos_as_xyz
'x,y,z'
'-x,-y,z'
'-x,y,z'
'x,-y,z'
'x+1/2,y+1/2,z+1/2'
'-x+1/2,-y+1/2,z+1/2'
'-x+1/2,y+1/2,z+1/2'
'x+1/2,-y+1/2,z+1/2'
loop_
_atom_site_label
_atom_site_type_symbol
_atom_site_fract_x
_atom_site_fract_y
_atom_site_fract_z
_atom_site_occupancy
Al1 Al 0.000 0.000 0.000 1
Ir1 Ir 0.000 0.000 0.492 1
Ir2 Ir 0.000 0.500 0.735 1
Pt1 Pt 0.000 0.500 0.265 1
```

=====

(12)
Density functional theory data (PBE-GGA) for a relaxed AlIrPt2 crystal.

## Properties
energy of formation	-0.5528	eV per atom
crystal system	tetragonal

```
data_AlIrPt2
_chemical_formula_sum 'Al1 Ir1 Pt2'
_cell_length_a 3.856
_cell_length_b 3.856
_cell_length_c 3.978
_cell_angle_alpha 90.00
_cell_angle_beta 90.00
_cell_angle_gamma 90.00
_symmetry_space_group_name_H-M 'P 4/m m m'
_symmetry_Int_Tables_number 123
_symmetry_space_group_name_Hall '-P 4 2'
loop_
_atom_site_label
_atom_site_type_symbol
_atom_site_fract_x
_atom_site_fract_y
_atom_site_fract_z
_atom_site_occupancy
Al1 Al 0.000 0.000 0.000 1
Ir1 Ir 0.500 0.500 0.000 1
Pt1 Pt 0.000 0.500 0.500 1
```

=====

(13)
Density functional theory data (PBE-GGA) for a relaxed AlIrPt2 crystal.

## Properties
energy of formation	-0.4219	eV per atom
crystal system	monoclinic

```
data_AlIrPt2
_chemical_formula_sum 'Al2 Ir2 Pt4'
_cell_length_a 9.171
_cell_length_b 2.851
_cell_length_c 4.710
_cell_angle_alpha 90.00
_cell_angle_beta 103.77
_cell_angle_gamma 90.00
_symmetry_space_group_name_H-M 'C 1 2/m 1'
_symmetry_Int_Tables_number 12
loop_
_symmetry_equiv_pos_as_xyz
'x,y,z'
'-x,-y,-z'
'-x,y,-z'
'x,-y,z'
'x+1/2,y+1/2,z'
'-x+1/2,-y+1/2,-z'
'-x+1/2,y+1/2,-z'
'x+1/2,-y+1/2,z'
loop_
_atom_site_label
_atom_site_type_symbol
_atom_site_fract_x
_atom_site_fract_y
_atom_site_fract_z
_atom_site_occupancy
Al1 Al 0.000 0.000 0.000 1
Ir1 Ir 0.000 0.500 0.500 1
Pt1 Pt 0.240 0.500 0.248 1
```

=====

(14)
Density functional theory data (PBE-GGA) for a relaxed AlIrPt2 crystal.

## Properties
energy of formation	-0.4704	eV per atom
crystal system	monoclinic

```
data_AlIrPt2
_chemical_formula_sum 'Al2 Ir2 Pt4'
_cell_length_a 9.301
_cell_length_b 2.819
_cell_length_c 4.718
_cell_angle_alpha 90.00
_cell_angle_beta 104.93
_cell_angle_gamma 90.00
_symmetry_space_group_name_H-M 'C 1 m 1'
_symmetry_Int_Tables_number 8
loop_
_symmetry_equiv_pos_as_xyz
'x,y,z'
'x,-y,z'
'x+1/2,y+1/2,z'
'x+1/2,-y+1/2,z'
loop_
_atom_site_label
_atom_site_type_symbol
_atom_site_fract_x
_atom_site_fract_y
_atom_site_fract_z
_atom_site_occupancy
Al1 Al 0.000 0.000 0.000 1
Ir1 Ir 0.271 0.000 0.750 1
Pt1 Pt 0.007 0.500 0.505 1
Pt2 Pt 0.237 0.500 0.230 1
```

=====

(15)
Density functional theory data (PBE-GGA) for a relaxed Al2IrPt crystal.

## Properties
energy of formation	-0.8051	eV per atom
crystal system	orthorhombic

```
data_Al2IrPt
_chemical_formula_sum 'Al2 Ir1 Pt1'
_cell_length_a 2.867
_cell_length_b 3.852
_cell_length_c 5.361
_cell_angle_alpha 90.00
_cell_angle_beta 90.00
_cell_angle_gamma 90.00
_symmetry_space_group_name_H-M 'P m m 2'
_symmetry_Int_Tables_number 25
loop_
_symmetry_equiv_pos_as_xyz
'x,y,z'
'-x,-y,z'
'-x,y,z'
'x,-y,z'
loop_
_atom_site_label
_atom_site_type_symbol
_atom_site_fract_x
_atom_site_fract_y
_atom_site_fract_z
_atom_site_occupancy
Al1 Al 0.000 0.000 0.000 1
Al2 Al 0.500 0.500 0.310 1
Ir1 Ir 0.000 0.000 0.473 1
Pt1 Pt 0.500 0.500 0.821 1
```

=====

(16)
Density functional theory data (PBE-GGA) for a relaxed AlIrPt4 crystal.

## Properties
energy of formation	0.2122	eV per atom
crystal system	cubic

```
data_AlIrPt4
_chemical_formula_sum 'Al4 Ir4 Pt16'
_cell_length_a 7.358
_cell_length_b 7.358
_cell_length_c 7.358
_cell_angle_alpha 90.00
_cell_angle_beta 90.00
_cell_angle_gamma 90.00
_symmetry_space_group_name_H-M 'F -4 3 m'
_symmetry_Int_Tables_number 216
_symmetry_space_group_name_Hall 'F -4 2 3'
loop_
_atom_site_label
_atom_site_type_symbol
_atom_site_fract_x
_atom_site_fract_y
_atom_site_fract_z
_atom_site_occupancy
Al1 Al 0.000 0.000 0.000 1
Ir1 Ir 0.250 0.250 0.750 1
Pt1 Pt 0.125 0.125 0.375 1
```

=====

(17)
Density functional theory data (PBE-GGA) for a relaxed Al2IrPt crystal.

## Properties
energy of formation	-0.7662	eV per atom
crystal system	orthorhombic

```
data_Al2IrPt
_chemical_formula_sum 'Al4 Ir2 Pt2'
_cell_length_a 3.020
_cell_length_b 4.166
_cell_length_c 9.332
_cell_angle_alpha 90.00
_cell_angle_beta 90.00
_cell_angle_gamma 90.00
_symmetry_space_group_name_H-M 'I m m 2'
_symmetry_Int_Tables_number 44
loop_
_symmetry_equiv_pos_as_xyz
'x,y,z'
'-x,-y,z'
'-x,y,z'
'x,-y,z'
'x+1/2,y+1/2,z+1/2'
'-x+1/2,-y+1/2,z+1/2'
'-x+1/2,y+1/2,z+1/2'
'x+1/2,-y+1/2,z+1/2'
loop_
_atom_site_label
_atom_site_type_symbol
_atom_site_fract_x
_atom_site_fract_y
_atom_site_fract_z
_atom_site_occupancy
Al1 Al 0.000 0.000 0.000 1
Al2 Al 0.000 0.500 0.232 1
Ir1 Ir 0.000 0.500 0.727 1
Pt1 Pt 0.000 0.000 0.499 1
```

=====

(18)
Density functional theory data (PBE-GGA) for a relaxed AlIr2Pt crystal.

## Properties
energy of formation	-0.3658	eV per atom
crystal system	orthorhombic

```
data_AlIr2Pt
_chemical_formula_sum 'Al2 Ir4 Pt2'
_cell_length_a 2.822
_cell_length_b 4.423
_cell_length_c 9.459
_cell_angle_alpha 90.00
_cell_angle_beta 90.00
_cell_angle_gamma 90.00
_symmetry_space_group_name_H-M 'I m m m'
_symmetry_Int_Tables_number 71
_symmetry_space_group_name_Hall '-I 2 2'
loop_
_atom_site_label
_atom_site_type_symbol
_atom_site_fract_x
_atom_site_fract_y
_atom_site_fract_z
_atom_site_occupancy
Al1 Al 0.000 0.000 0.000 1
Ir1 Ir 0.000 0.500 0.281 1
Pt1 Pt 0.000 0.000 0.500 1
```

=====

(19)
Density functional theory data (PBE-GGA) for a relaxed Al2IrPt crystal.

## Properties
energy of formation	-0.9403	eV per atom
crystal system	orthorhombic

```
data_Al2IrPt
_chemical_formula_sum 'Al2 Ir1 Pt1'
_cell_length_a 2.940
_cell_length_b 3.369
_cell_length_c 5.757
_cell_angle_alpha 90.00
_cell_angle_beta 90.00
_cell_angle_gamma 90.00
_symmetry_space_group_name_H-M 'P m m m'
_symmetry_Int_Tables_number 47
loop_
_symmetry_equiv_pos_as_xyz
'x,y,z'
'-x,-y,-z'
'-x,-y,z'
'x,y,-z'
'x,-y,-z'
'-x,y,z'
'-x,y,-z'
'x,-y,z'
loop_
_atom_site_label
_atom_site_type_symbol
_atom_site_fract_x
_atom_site_fract_y
_atom_site_fract_z
_atom_site_occupancy
Al1 Al 0.000 0.000 0.243 1
Ir1 Ir 0.500 0.500 0.000 1
Pt1 Pt 0.500 0.500 0.500 1
```

=====

(20)
Density functional theory data (PBE-GGA) for a relaxed Al2IrPt crystal.

## Properties
energy of formation	-0.3273	eV per atom
crystal system	tetragonal

```
data_Al2IrPt
_chemical_formula_sum 'Al8 Ir4 Pt4'
_cell_length_a 4.034
_cell_length_b 4.034
_cell_length_c 16.412
_cell_angle_alpha 90.00
_cell_angle_beta 90.00
_cell_angle_gamma 90.00
_symmetry_space_group_name_H-M 'I -4 2 d'
_symmetry_Int_Tables_number 122
_symmetry_space_group_name_Hall 'I -4 2bw'
loop_
_atom_site_label
_atom_site_type_symbol
_atom_site_fract_x
_atom_site_fract_y
_atom_site_fract_z
_atom_site_occupancy
Al1 Al 0.244 0.250 0.125 1
Ir1 Ir 0.000 0.000 0.000 1
Pt1 Pt 0.000 0.000 0.500 1
```